A relaxed structure of CrInAs. Source: the Alexandria database, functional GGA-PBE.

SG	C2 (5)
formation energy from the elements	0.017	eV per atom
total DFT energy (no corrections)	-5.654	eV per atom

a b c (Å): 3.0491 3.0490 12.6714
angles (deg): 90.05 90.12 90.00
Closest atoms and distances in Å follow each position.
Fractional positions:
Cr  0.5660  0.8608  0.0305  5 As 2.52-2.70, 4 Cr 2.57
Cr  0.0669  0.3612  0.1408  5 As 2.52-2.70, 4 Cr 2.57
As  0.0651  0.3605  0.9274  5 Cr 2.52-2.70
As  0.5677  0.8616  0.2439  5 Cr 2.52-2.70
In  0.5710  0.8596  0.4787  1 As 2.98, 4 In 3.05
In  0.0688  0.3584  0.6926  1 As 2.98, 4 In 3.05

=====

A relaxed structure of HgSeO4. Source: the Alexandria database, functional GGA-PBE.

SG	Pban (50)
total DFT energy (no corrections)	-4.397	eV per atom
E_form (uncorrected)	-0.46	eV/atom

a b c (Å): 4.6430 5.0737 7.9193
angles (deg): 90.00 90.00 90.00
Closest atoms and distances in Å follow each position.
Fractional positions:
Hg  0.5000  0.2500  0.2503  4 O 2.30
Hg  0.5000  0.7500  0.7497  4 O 2.30
Se  0.0000  0.2500  0.7499  4 O 1.69
Se  0.0000  0.7500  0.2501  4 O 1.69
O  0.2094  0.5611  0.1253  1 Se 1.69
O  0.2097  0.4386  0.6251  1 Se 1.69
O  0.7906  0.9389  0.1253  1 Se 1.69
O  0.7903  0.5614  0.3749  1 Se 1.69
O  0.7903  0.0614  0.6251  1 Se 1.69
O  0.2094  0.0611  0.8747  1 Se 1.69
O  0.2097  0.9386  0.3749  1 Se 1.69
O  0.7906  0.4389  0.8747  1 Se 1.69

=====

A relaxed structure of Er4PuSc3. Source: the Alexandria database, functional GGA-PBE.

SG	Pmn2_1 (31)
formation energy from the elements	0.042	eV per atom
total DFT energy (no corrections)	-6.405	eV per atom

a b c (Å): 5.9188 6.9299 10.7707
angles (deg): 90.00 90.00 90.00
Closest atoms and distances in Å follow each position.
Fractional positions:
Er  0.9900  0.8634  0.0000  4 Sc 3.34-3.48, 2 Pu 3.35-3.58, 6 Er 3.39-3.51
Er  0.4877  0.1340  0.0000  4 Sc 3.34-3.59, 2 Pu 3.37-3.46, 6 Er 3.39-3.51
Er  0.1379  0.1339  0.2499  1 Pu 3.32, 5 Sc 3.34-3.60, 6 Er 3.39-3.49
Er  0.6379  0.8661  0.2501  1 Pu 3.32, 5 Sc 3.34-3.60, 6 Er 3.39-3.49
Er  0.9877  0.8660  0.5000  4 Sc 3.34-3.59, 2 Pu 3.37-3.46, 6 Er 3.39-3.51
Er  0.4900  0.1366  0.5000  4 Sc 3.34-3.48, 2 Pu 3.35-3.58, 6 Er 3.39-3.51
Er  0.6379  0.8661  0.7499  1 Pu 3.32, 5 Sc 3.34-3.60, 6 Er 3.39-3.49
Er  0.1379  0.1339  0.7501  1 Pu 3.32, 5 Sc 3.34-3.60, 6 Er 3.39-3.49
Pu  0.9796  0.3802  0.0000  6 Sc 3.31-3.39, 6 Er 3.32-3.58
Pu  0.4796  0.6198  0.5000  6 Sc 3.31-3.39, 6 Er 3.32-3.58
Sc  0.4777  0.6155  0.0000  4 Sc 3.30-3.31, 6 Er 3.34-3.59, 2 Pu 3.37-3.39
Sc  0.1523  0.6152  0.2501  4 Sc 3.30-3.36, 2 Pu 3.31-3.32, 6 Er 3.34-3.60
Sc  0.6523  0.3848  0.2499  4 Sc 3.30-3.36, 2 Pu 3.31-3.32, 6 Er 3.34-3.60
Sc  0.9777  0.3845  0.5000  4 Sc 3.30-3.31, 6 Er 3.34-3.59, 2 Pu 3.37-3.39
Sc  0.6523  0.3848  0.7501  4 Sc 3.30-3.36, 2 Pu 3.31-3.32, 6 Er 3.34-3.60
Sc  0.1523  0.6152  0.7499  4 Sc 3.30-3.36, 2 Pu 3.31-3.32, 6 Er 3.34-3.60

=====

A relaxed structure of LiNpAgI6. Source: the Alexandria database, functional GGA-PBE.

SG	P-31c (163)
total DFT energy (no corrections)	-3.716	eV per atom
E_form (uncorrected)	-0.71	eV/atom

a b c (Å): 7.4800 7.4800 13.9050
angles (deg): 90.00 90.00 120.00
Closest atoms and distances in Å follow each position.
Fractional positions:
Li  0.3333  0.6667  0.2500  6 I 3.02
Li  0.6667  0.3333  0.7500  6 I 3.02
Np  0.6667  0.3333  0.2500  6 I 3.01
Np  0.3333  0.6667  0.7500  6 I 3.01
Ag  0.0000  0.0000  0.0000  6 I 3.09
Ag  0.0000  0.0000  0.5000  6 I 3.09
I  0.6600  0.6594  0.1256  1 Np 3.01, 1 Li 3.02, 1 Ag 3.09
I  0.9993  0.3400  0.1256  1 Np 3.01, 1 Li 3.02, 1 Ag 3.09
I  0.3400  0.9993  0.6256  1 Np 3.01, 1 Li 3.02, 1 Ag 3.09
I  0.0007  0.6600  0.8744  1 Np 3.01, 1 Li 3.02, 1 Ag 3.09
I  0.3406  0.3400  0.3744  1 Np 3.01, 1 Li 3.02, 1 Ag 3.09
I  0.9993  0.6594  0.3744  1 Np 3.01, 1 Li 3.02, 1 Ag 3.09
I  0.6594  0.9993  0.8744  1 Np 3.01, 1 Li 3.02, 1 Ag 3.09
I  0.6600  0.0007  0.3744  1 Np 3.01, 1 Li 3.02, 1 Ag 3.09
I  0.0007  0.3406  0.6256  1 Np 3.01, 1 Li 3.02, 1 Ag 3.09
I  0.3406  0.0007  0.1256  1 Np 3.01, 1 Li 3.02, 1 Ag 3.09
I  0.6594  0.6600  0.6256  1 Np 3.01, 1 Li 3.02, 1 Ag 3.09
I  0.3400  0.3406  0.8744  1 Np 3.01, 1 Li 3.02, 1 Ag 3.09

=====

A relaxed structure of RbAlO2. Source: the Alexandria database, functional GGA-PBE.

SG	I4/mcm (140)
total DFT energy (no corrections)	-5.820	eV per atom
E_form (uncorrected)	-2.16	eV/atom

a b c (Å): 6.9173 6.9173 5.5958
angles (deg): 51.82 51.82 90.00
Closest atoms and distances in Å follow each position.
Fractional positions:
O  0.8721  0.3721  0.0000  2 Al 1.85
O  0.1279  0.6279  0.0000  2 Al 1.85
O  0.3721  0.1279  0.0000  2 Al 1.85
O  0.6279  0.8721  0.0000  2 Al 1.85
Al  0.7500  0.2500  0.5000  4 O 1.85
Al  0.2500  0.7500  0.5000  4 O 1.85
Rb  0.7500  0.7500  0.5000  2 Rb 2.72, 8 O 3.04
Rb  0.2500  0.2500  0.5000  2 Rb 2.72, 8 O 3.04

=====

A relaxed structure of Pm2SeS. Source: the Alexandria database, functional GGA-PBE.

SG	Fm-3m (225)
total DFT energy (no corrections)	-5.935	eV per atom
E_form (uncorrected)	-1.66	eV/atom

a b c (Å): 5.0423 5.0423 5.0423
angles (deg): 60.00 60.00 60.00
Closest atoms and distances in Å follow each position.
Fractional positions:
S  0.5000  0.5000  0.5000  8 Pm 3.09
Se  0.0000  0.0000  0.0000  8 Pm 3.09
Pm  0.2500  0.2500  0.2500  4 S 3.09, 4 Se 3.09
Pm  0.7500  0.7500  0.7500  4 S 3.09, 4 Se 3.09

=====

A relaxed structure of Ga2HgH. Source: the Alexandria database, functional GGA-PBE.

SG	Fm-3m (225)
total DFT energy (no corrections)	-2.000	eV per atom

a b c (Å): 4.6511 4.6511 4.6511
angles (deg): 60.00 60.00 60.00
Closest atoms and distances in Å follow each position.
Fractional positions:
H  0.0000  0.0000  0.0000  8 Ga 2.85
Hg  0.5000  0.5000  0.5000  8 Ga 2.85
Ga  0.2500  0.2500  0.2500  4 Hg 2.85, 4 H 2.85
Ga  0.7500  0.7500  0.7500  4 Hg 2.85, 4 H 2.85

=====

A relaxed structure of SrLi4N2. Source: the Alexandria database, functional GGA-PBE.

SG	R-3m (166)
total DFT energy (no corrections)	-4.092	eV per atom
E_form (uncorrected)	-0.38	eV/atom

a b c (Å): 3.6538 3.6538 7.1805
angles (deg): 75.26 75.26 60.00
Closest atoms and distances in Å follow each position.
Fractional positions:
Sr  0.0000  0.0000  0.0000  6 N 2.82, 8 Li 2.89-2.92
Li  0.4314  0.4314  0.7059  3 N 2.11, 3 Li 2.28
Li  0.1406  0.1406  0.5783  4 N 2.10-2.34, 3 Li 2.28
Li  0.5686  0.5686  0.2941  3 N 2.11, 3 Li 2.28
Li  0.8594  0.8594  0.4217  4 N 2.10-2.34, 3 Li 2.28
N  0.2423  0.2423  0.2730  7 Li 2.10-2.34
N  0.7577  0.7577  0.7270  7 Li 2.10-2.34

=====

Question: Which of these has the highest total DFT energy (no corrections)?
Answer: Ga2HgH